1.
TaAgMo2, relaxed, DFT GGA-PBE; polymorph energy (0 for the lowest one) = 52 kJ/mol of formula units; energy of formation = 1.2 eV per formula unit; symmetry = No. 12; crystal system = monoclinic; N(E_F) = 8.3 states/eV/cell
1.0
5.6000 0.0000 0.0000
0.0000 9.2480 0.0000
-0.7873 0.0000 2.5851
Ta Ag Mo
2 2 4
Direct
0.0000 0.0000 0.0000 Ta
0.5000 0.5000 0.0000 Ta
0.0000 0.5000 0.0000 Ag
0.5000 0.0000 0.0000 Ag
0.2500 0.2500 0.5000 Mo
0.2500 0.7500 0.5000 Mo
0.7500 0.2500 0.5000 Mo
0.7500 0.7500 0.5000 Mo

***

2.
KAcBi2O5, relaxed, DFT GGA-PBE; symmetry = No. 123; crystal system = tetragonal; E_form (uncorrected) = -1.844 eV/atom
1.0
4.3474 0.0000 0.0000
0.0000 4.3474 0.0000
0.0000 0.0000 9.3056
K Ac Bi O
1 1 2 5
Direct
0.0000 0.0000 0.0000 K
0.0000 0.0000 0.5000 Ac
0.5000 0.5000 0.2465 Bi
0.5000 0.5000 0.7535 Bi
0.0000 0.5000 0.3359 O
0.0000 0.5000 0.6641 O
0.5000 0.0000 0.3359 O
0.5000 0.0000 0.6641 O
0.5000 0.5000 0.0000 O

***

3.
PmDyAgGe, relaxed, DFT GGA-PBE; energy of formation = -2.1 eV per formula unit; symmetry = No. 216; crystal system = cubic; N(E_F) = 15.3 states/eV/cell
1.0
7.2792 0.0000 0.0000
0.0000 7.2792 0.0000
0.0000 0.0000 7.2792
Pm Dy Ag Ge
4 4 4 4
Direct
0.0000 0.0000 0.0000 Pm
0.0000 0.5000 0.5000 Pm
0.5000 0.0000 0.5000 Pm
0.5000 0.5000 0.0000 Pm
0.0000 0.0000 0.5000 Dy
0.0000 0.5000 0.0000 Dy
0.5000 0.0000 0.0000 Dy
0.5000 0.5000 0.5000 Dy
0.2500 0.2500 0.2500 Ag
0.2500 0.7500 0.7500 Ag
0.7500 0.2500 0.7500 Ag
0.7500 0.7500 0.2500 Ag
0.2500 0.2500 0.7500 Ge
0.2500 0.7500 0.2500 Ge
0.7500 0.2500 0.2500 Ge
0.7500 0.7500 0.7500 Ge

***

For each record above, in turn, the calculated energy values are -8.786 -6.040 -4.728 eV per atom.
For each record above, in turn, the calculated magnetic moment values are 0.00 0.00 0.01 Bohr magnetons per cell.